## BiRuPt2Pb (PBE)

Data for an optimized crystal structure of BiRuPt2Pb.

Lattice parameters (Å, degrees): 4.9706 5.0812 4.9706 90.00 90.00 90.00
Closest atoms and distances in Å follow each position.
Atoms (fractional coordinates):
Pb1 0.5000 0.5000 0.5000  4 Bi 3.51, 8 Pt 3.55
Bi1 0.0000 0.5000 0.0000  2 Ru 2.54
Pt1 0.0000 0.0000 0.5000  2 Ru 2.49
Pt2 0.5000 0.0000 0.0000  2 Ru 2.49
Ru1 0.0000 0.0000 0.0000  4 Pt 2.49, 2 Bi 2.54

- Crystal system: tetragonal
- Calculated total energy: -5.069 eV/atom
- SG: P4/mmm, No. 123